Density functional theory data (SCAN) for Ba2RhCl at its PBEsol-relaxed geometry.

Summary:
Total magnetic moment = 0.00 Bohr magnetons per cell
V = 30.837 Å³ per atom
Total energy = -31.334 eV/atom
Energy above the lowest structure with this stoichiometry = 27 meV/atom
ΔE_f (raw) = -1121 meV per atom
DOS at the Fermi energy = 0.505 states/eV per cell

Cell lengths 4.4793, 4.4793, 6.1476 Å; angles 90.00, 90.00, 90.00 degrees
Sites, in units of the cell vectors:
Cl  0.0000  0.0000  0.3750
Rh  0.5000  0.5000  0.8546
Ba  0.0000  0.0000  0.8761
Ba  0.5000  0.5000  0.3943

---

Density functional theory data (SCAN) for Ba3RhCl at its PBEsol-relaxed geometry.

Summary:
Total magnetic moment = 0.00 Bohr magnetons per cell
V = 37.914 Å³ per atom
Total energy = -32.355 eV/atom
ΔE_f (raw) = -275 meV per atom
DOS at the Fermi energy = 4.766 states/eV per cell

Cell lengths 5.7446, 5.7446, 5.7446 Å; angles 90.00, 90.00, 90.00 degrees
Sites, in units of the cell vectors:
Ba  0.0000  0.5000  0.0000
Cl  0.0000  0.0000  0.0000
Ba  0.0000  0.0000  0.5000
Ba  0.5000  0.0000  0.0000
Rh  0.5000  0.5000  0.5000

---

Density functional theory data (SCAN) for Ba2RhCl at its PBEsol-relaxed geometry.

Summary:
Total magnetic moment = 0.02 Bohr magnetons per cell
V = 27.805 Å³ per atom
Total energy = -31.313 eV/atom
Energy above the lowest structure with this stoichiometry = 48 meV/atom
ΔE_f (raw) = -1100 meV per atom
DOS at the Fermi energy = 1.068 states/eV per cell

Cell lengths 3.7212, 3.7197, 8.0351 Å; angles 90.00, 89.97, 90.00 degrees
Sites, in units of the cell vectors:
Ba  0.9999  0.0000  0.7741
Rh  0.5000  0.5000  0.0000
Cl  0.5000  0.5000  0.5000
Ba  0.0001  0.0000  0.2259

---

Density functional theory data (SCAN) for BaRu2Cl at its PBEsol-relaxed geometry.

Summary:
Total magnetic moment = 1.11 Bohr magnetons per cell
V = 19.388 Å³ per atom
Total energy = -28.574 eV/atom
ΔE_f (raw) = 721 meV per atom
DOS at the Fermi energy = 4.024 states/eV per cell

Cell lengths 4.7867, 4.7867, 4.7867 Å; angles 60.00, 60.00, 60.00 degrees
Sites, in units of the cell vectors:
Ru  0.7500  0.7500  0.7500
Ru  0.0000  0.0000  0.0000
Ba  0.5000  0.5000  0.5000
Cl  0.2500  0.2500  0.2500

---

Density functional theory data (SCAN) for Ba3RuCl at its PBEsol-relaxed geometry.

Summary:
Total magnetic moment = 0.00 Bohr magnetons per cell
V = 39.549 Å³ per atom
Total energy = -32.599 eV/atom
ΔE_f (raw) = -308 meV per atom
DOS at the Fermi energy = 4.814 states/eV per cell

Cell lengths 5.8260, 5.8260, 5.8260 Å; angles 90.00, 90.00, 90.00 degrees
Sites, in units of the cell vectors:
Ba  0.5000  0.0000  0.0000
Ru  0.0000  0.0000  0.0000
Ba  0.0000  0.5000  0.0000
Cl  0.5000  0.5000  0.5000
Ba  0.0000  0.0000  0.5000

---

Density functional theory data (SCAN) for BaRuSeCl2 at its PBEsol-relaxed geometry.

Summary:
Total magnetic moment = 4.30 Bohr magnetons per cell
V = 42.540 Å³ per atom
Total energy = -21.881 eV/atom
ΔE_f (raw) = 201 meV per atom
DOS at the Fermi energy = 1.630 states/eV per cell

Cell lengths 5.5781, 5.5781, 6.8359 Å; angles 90.00, 90.00, 90.00 degrees
Sites, in units of the cell vectors:
Ba  0.0000  0.0000  0.0000
Se  0.5000  0.5000  0.5000
Cl  0.5000  0.0000  0.0000
Ru  0.0000  0.0000  0.5000
Cl  0.0000  0.5000  0.0000

---

Density functional theory data (SCAN) for Ba2SbCl at its PBEsol-relaxed geometry.

Summary:
Total magnetic moment = 0.00 Bohr magnetons per cell
V = 32.527 Å³ per atom
Total energy = -32.099 eV/atom
ΔE_f (raw) = -1015 meV per atom

Cell lengths 5.6877, 5.6877, 5.6877 Å; angles 60.00, 60.00, 60.00 degrees
Sites, in units of the cell vectors:
Ba  0.7500  0.7500  0.7500
Ba  0.0000  0.0000  0.0000
Cl  0.5000  0.5000  0.5000
Sb  0.2500  0.2500  0.2500

---

Density functional theory data (SCAN) for Ba2SbCl at its PBEsol-relaxed geometry.

Summary:
Total magnetic moment = 0.00 Bohr magnetons per cell
V = 34.042 Å³ per atom
Total energy = -32.816 eV/atom
ΔE_f (raw) = -1731 meV per atom

Cell lengths 5.7747, 5.7747, 5.7747 Å; angles 60.00, 60.00, 60.00 degrees
Sites, in units of the cell vectors:
Sb  0.0000  0.0000  0.0000
Ba  0.7500  0.7500  0.7500
Cl  0.5000  0.5000  0.5000
Ba  0.2500  0.2500  0.2500

---

Density functional theory data (SCAN) for Ba2SbCl at its PBEsol-relaxed geometry.

Summary:
Total magnetic moment = 0.00 Bohr magnetons per cell
V = 38.829 Å³ per atom
Total energy = -32.834 eV/atom
ΔE_f (raw) = -1749 meV per atom
DOS at the Fermi energy = 0.148 states/eV per cell

Cell lengths 4.8190, 4.8267, 6.6773 Å; angles 90.00, 90.00, 90.00 degrees
Sites, in units of the cell vectors:
Ba  0.8822  0.5000  0.0000
Sb  0.8707  0.5000  0.5000
Cl  0.3744  0.0000  0.0000
Ba  0.3727  0.0000  0.5000

---

Density functional theory data (SCAN) for Ba2SbCl at its PBEsol-relaxed geometry.

Summary:
Total magnetic moment = 0.00 Bohr magnetons per cell
V = 38.804 Å³ per atom
Total energy = -32.778 eV/atom
ΔE_f (raw) = -1694 meV per atom
DOS at the Fermi energy = 0.191 states/eV per cell

Cell lengths 4.2086, 4.4087, 8.3655 Å; angles 90.02, 90.00, 90.00 degrees
Sites, in units of the cell vectors:
Ba  0.0000  0.0001  0.2144
Sb  0.5000  0.5000  0.0000
Ba  0.0000  0.9999  0.7856
Cl  0.5000  0.0000  0.5000

---

Density functional theory data (SCAN) for BaSbTe2Cl at its PBEsol-relaxed geometry.

Summary:
Total magnetic moment = 0.85 Bohr magnetons per cell
V = 54.570 Å³ per atom
Total energy = -31.382 eV/atom
ΔE_f (raw) = 476 meV per atom
DOS at the Fermi energy = 5.251 states/eV per cell

Cell lengths 6.4487, 6.4487, 6.5612 Å; angles 90.00, 90.00, 90.00 degrees
Sites, in units of the cell vectors:
Sb  0.0000  0.0000  0.5000
Cl  0.5000  0.5000  0.5000
Te  0.0000  0.5000  0.0000
Ba  0.0000  0.0000  0.0000
Te  0.5000  0.0000  0.0000

---

Density functional theory data (SCAN) for BaScCl at its PBEsol-relaxed geometry.

Summary:
Total magnetic moment = 1.60 Bohr magnetons per cell
V = 28.079 Å³ per atom
Total energy = -21.469 eV/atom
Energy above the lowest structure with this stoichiometry = 0 meV/atom
ΔE_f (raw) = -881 meV per atom
DOS at the Fermi energy = 1.441 states/eV per cell

Cell lengths 3.6354, 3.6354, 7.3600 Å; angles 90.00, 90.00, 120.00 degrees
Sites, in units of the cell vectors:
Sc  0.6667  0.3333  0.3921
Cl  0.3333  0.6667  0.6257
Ba  0.0000  0.0000  0.9821